Computed, not measured: a relaxed structure of UMnAgO6 at the PBE+U level of DFT.

```
UMnAgO6
1.0
4.918 0.000 0.000
0.000 4.918 0.000
0.000 0.000 9.531
U Mn Ag O
2 2 2 12
Direct
0.000 0.000 0.000 U
0.500 0.500 0.500 U
0.000 0.000 0.665 Mn
0.500 0.500 0.165 Mn
0.000 0.000 0.332 Ag
0.500 0.500 0.832 Ag
0.175 0.175 0.823 O
0.197 0.197 0.517 O
0.216 0.216 0.153 O
0.284 0.716 0.653 O
0.303 0.697 0.017 O
0.325 0.675 0.323 O
0.675 0.325 0.323 O
0.697 0.303 0.017 O
0.716 0.284 0.653 O
0.784 0.784 0.153 O
0.803 0.803 0.517 O
0.825 0.825 0.823 O
```

Space-group type: No. 102
VASP energy, eV per cell: -133.9